A relaxed structure of CdHPdPt, computed with PBE.

a b c (Å): 2.9393 2.9357 6.5254
angles (deg): 103.00 102.12 90.00
With the nearest neighbours (Å) after each atom.
Atoms (fractional coordinates):
Pt1 0.3262 0.9345 0.8691  1 H 1.76
Pd1 0.6458 0.2630 0.5259  2 H 1.91
Cd1 0.9798 0.5935 0.1870  1 H 2.54
H1 0.0672 0.7963 0.5925  1 Pt 1.76, 2 Pd 1.91

***

A relaxed structure of CdH4Pd2Pt, computed with PBE.

a b c (Å): 4.2595 4.2595 5.4811
angles (deg): 112.65 112.65 90.51
With the nearest neighbours (Å) after each atom.
Atoms (fractional coordinates):
Pt1 0.5003 0.5003 0.0005  4 H 1.76
H1 0.5409 0.5409 0.7065  1 Pt 1.76, 2 Pd 1.82
H2 0.8351 0.4564 0.2915  1 Pt 1.76, 2 Pd 1.82
H3 0.4564 0.8351 0.2915  1 Pt 1.76, 2 Pd 1.82
H4 0.1655 0.1655 0.7065  1 Pt 1.76, 2 Pd 1.82
Cd1 0.0006 0.0006 0.0011  4 H 2.30-2.31
Pd1 0.7508 0.2508 0.5016  4 H 1.82
Pd2 0.2508 0.7508 0.5016  4 H 1.82

***

A relaxed structure of Cd2HPdPt, computed with PBE.

a b c (Å): 4.6757 4.6757 3.4599
angles (deg): 90.00 90.00 90.00
With the nearest neighbours (Å) after each atom.
Atoms (fractional coordinates):
Pd1 0.5000 0.5000 0.5000  8 Cd 2.91
Cd1 0.0000 0.5000 0.0000  2 H 2.34
Cd2 0.5000 0.0000 0.0000  2 H 2.34
H1 0.0000 0.0000 0.0000  2 Pt 1.73
Pt1 0.0000 0.0000 0.5000  2 H 1.73

Results
relative energy among the computed polymorphs: 0 kJ/mol of formula units

***

A relaxed structure of Cd2HPdPt, computed with PBE.

a b c (Å): 4.6797 4.6797 3.4161
angles (deg): 90.00 90.00 90.00
With the nearest neighbours (Å) after each atom.
Atoms (fractional coordinates):
Cd1 0.0000 0.5000 0.0000  2 H 2.34
Cd2 0.5000 0.0000 0.0000  2 H 2.34
Pt1 0.5000 0.5000 0.5000  8 Cd 2.90
Pd1 0.0000 0.0000 0.5000  2 H 1.71
H1 0.0000 0.0000 0.0000  2 Pd 1.71

Results
relative energy among the computed polymorphs: 4 kJ/mol of formula units

***

A relaxed structure of CdH6PdPt2, computed with PBE.

a b c (Å): 5.9427 5.9427 5.4045
angles (deg): 96.11 96.11 97.07
With the nearest neighbours (Å) after each atom.
Atoms (fractional coordinates):
H1 0.8765 0.4486 0.1603  1 Pt 1.67
H2 0.1542 0.1953 0.0608  2 Pt 1.73-1.83
H3 0.8458 0.8047 0.9392  2 Pt 1.73-1.83
H4 0.4486 0.8765 0.6603  1 Pt 1.67
H5 0.3243 0.4836 0.4051  1 Pt 1.74, 2 Pd 1.86-1.90
H6 0.6757 0.5164 0.5949  1 Pt 1.74, 2 Pd 1.86-1.90
H7 0.5164 0.6757 0.0949  1 Pt 1.74, 2 Pd 1.86-1.90
H8 0.8047 0.8458 0.4392  2 Pt 1.73-1.83
H9 0.4836 0.3243 0.9051  1 Pt 1.74, 2 Pd 1.86-1.90
H10 0.1953 0.1542 0.5608  2 Pt 1.73-1.83
H11 0.1235 0.5514 0.8397  1 Pt 1.67
H12 0.5514 0.1235 0.3397  1 Pt 1.67
Pd1 0.5785 0.4215 0.2500  6 H 1.86-1.90
Pd2 0.4215 0.5785 0.7500  6 H 1.86-1.90
Pt1 0.0591 0.3151 0.3299  4 H 1.67-1.83
Pt2 0.6849 0.9409 0.1701  4 H 1.67-1.83
Pt3 0.9409 0.6849 0.6701  4 H 1.67-1.83
Pt4 0.3151 0.0591 0.8299  4 H 1.67-1.83
Cd1 0.8221 0.1779 0.7500  10 H 2.44-2.64
Cd2 0.1779 0.8221 0.2500  10 H 2.44-2.64

***

A relaxed structure of Pu2CdHPd6, computed with PBE.

a b c (Å): 5.6613 7.2095 5.6550
angles (deg): 65.66 61.49 89.82
With the nearest neighbours (Å) after each atom.
Atoms (fractional coordinates):
Pd1 0.1765 0.6415 0.0484  1 H 2.05
Pd2 0.2961 0.2733 0.0218  1 H 1.93
Pd3 0.6890 0.6422 0.5352  1 H 2.05
Pd4 0.8235 0.3585 0.9516  1 H 2.05
Pd5 0.7039 0.7267 0.9782  1 H 1.93
Pd6 0.3110 0.3578 0.4648  1 H 2.05
Cd1 0.0000 0.0000 0.0000  6 Pd 2.67-2.72
Pu1 0.2511 0.8072 0.4447  9 Pd 2.92-3.22
Pu2 0.7489 0.1928 0.5553  9 Pd 2.92-3.22
H1 0.5000 0.5000 0.0000  6 Pd 1.93-2.05

***

Calculated total energy (eV per atom), listed in the same order as above: -4.03; -3.93; -3.46; -3.45; -3.81; -6.76